# 1
Computed, not measured: a relaxed structure of K2TbCuCl6 at the PBE level of DFT.

a = 7.3238 Å, b = 7.3238 Å, c = 7.3238 Å
α = 60.00°, β = 60.00°, γ = 60.00°
Closest atoms and distances in Å follow each position.
Positions (direct):
1 K 0.2500 0.2500 0.2500  12 Cl 3.66
2 K 0.7500 0.7500 0.7500  12 Cl 3.66
3 Tb 0.0000 0.0000 0.0000  6 Cl 2.64
4 Cu 0.5000 0.5000 0.5000  6 Cl 2.54
5 Cl 0.2550 0.2550 0.7450  1 Cu 2.54, 1 Tb 2.64
6 Cl 0.2550 0.7450 0.2550  1 Cu 2.54, 1 Tb 2.64
7 Cl 0.2550 0.7450 0.7450  1 Cu 2.54, 1 Tb 2.64
8 Cl 0.7450 0.2550 0.2550  1 Cu 2.54, 1 Tb 2.64
9 Cl 0.7450 0.2550 0.7450  1 Cu 2.54, 1 Tb 2.64
10 Cl 0.7450 0.7450 0.2550  1 Cu 2.54, 1 Tb 2.64

Its space group is Fm-3m, No. 225. For the energy above the most stable polymorph in this dataset, the calculation gives 0.390 eV per formula unit. Its density of states at the Fermi level is 0.000 states/eV/f.u. For the total magnetization, the calculation gives 0.076 μB/cell.


# 2
Computed, not measured: a relaxed structure of KCu2TcCl8 at the PBE level of DFT.

a = 6.1621 Å, b = 6.8616 Å, c = 8.3918 Å
α = 70.81°, β = 82.70°, γ = 84.98°
Closest atoms and distances in Å follow each position.
Positions (direct):
1 K 0.0000 0.0000 0.0000  6 Cl 3.17-3.36
2 Cu 0.4858 0.5210 0.8155  4 Cl 2.25-2.43
3 Cu 0.5142 0.4790 0.1845  4 Cl 2.25-2.43
4 Tc 0.0000 0.5000 0.5000  6 Cl 2.34-2.40
5 Cl 0.1114 0.4893 0.7670  1 Tc 2.40, 1 Cu 2.43
6 Cl 0.1545 0.8208 0.3685  1 Tc 2.34
7 Cl 0.3374 0.3224 0.4419  1 Cu 2.26, 1 Tc 2.39
8 Cl 0.4857 0.7616 0.9558  2 Cu 2.25-2.32
9 Cl 0.5143 0.2384 0.0442  2 Cu 2.25-2.32
10 Cl 0.6626 0.6776 0.5581  1 Cu 2.26, 1 Tc 2.39
11 Cl 0.8455 0.1792 0.6315  1 Tc 2.34
12 Cl 0.8886 0.5107 0.2330  1 Tc 2.40, 1 Cu 2.43

Its space group is P-1, No. 2. Its density of states at the Fermi level is 6.424 states/eV/f.u. As for the calculated total energy: -3.7028 eV per atom. For the total magnetization, the calculation gives 3.750 μB/cell.


# 3
Computed, not measured: a relaxed structure of K2CuTeCl6 at the PBE level of DFT.

a = 7.3585 Å, b = 10.6994 Å, c = 7.7155 Å
α = 90.00°, β = 90.00°, γ = 90.00°
Closest atoms and distances in Å follow each position.
Positions (direct):
1 K 0.2500 0.0253 0.1953  1 Cl 3.18
2 K 0.2500 0.4747 0.1953  1 Cl 3.18
3 K 0.7500 0.5253 0.8047  1 Cl 3.18
4 K 0.7500 0.9747 0.8047  1 Cl 3.18
5 Cu 0.2500 0.7500 0.8030  2 Cl 2.20
6 Cu 0.7500 0.2500 0.1970  2 Cl 2.20
7 Te 0.2500 0.2500 0.6980  4 Cl 2.55-2.62
8 Te 0.7500 0.7500 0.3020  4 Cl 2.55-2.62
9 Cl 0.0012 0.2500 0.9416  1 Te 2.62, 1 Cu 2.70
10 Cl 0.0124 0.2500 0.4575  1 Te 2.55, 1 Cu 2.79
11 Cl 0.2500 0.5446 0.7944  1 Cu 2.20
12 Cl 0.2500 0.9554 0.7944  1 Cu 2.20
13 Cl 0.4876 0.2500 0.4575  1 Te 2.55, 1 Cu 2.79
14 Cl 0.4988 0.2500 0.9416  1 Te 2.62, 1 Cu 2.70
15 Cl 0.5012 0.7500 0.0584  1 Te 2.62, 1 Cu 2.70
16 Cl 0.5124 0.7500 0.5425  1 Te 2.55, 1 Cu 2.79
17 Cl 0.7500 0.0446 0.2056  1 Cu 2.20
18 Cl 0.7500 0.4554 0.2056  1 Cu 2.20
19 Cl 0.9876 0.7500 0.5425  1 Te 2.55, 1 Cu 2.79
20 Cl 0.9988 0.7500 0.0584  1 Te 2.62, 1 Cu 2.70

Its space group is Pmmn, No. 59. Its density of states at the Fermi level is 2.017 states/eV/f.u. As for the calculated total energy: -3.0963 eV per atom. For the total magnetization, the calculation gives 1.756 μB/cell.


# 4
Computed, not measured: a relaxed structure of KCuTeCl2 at the PBE level of DFT.

a = 6.2024 Å, b = 6.2024 Å, c = 8.8836 Å
α = 90.00°, β = 90.00°, γ = 90.00°
Closest atoms and distances in Å follow each position.
Positions (direct):
1 K 0.0000 0.0000 0.0000  4 Cu 4.39, 2 Te 4.44
2 Cu 0.5000 0.5000 0.0000  4 K 4.39
3 Te 0.0000 0.0000 0.5000  4 Cl 3.10
4 Cl 0.0000 0.5000 0.5000  2 Te 3.10
5 Cl 0.5000 0.0000 0.5000  2 Te 3.10

Its space group is P4/mmm, No. 123. Its density of states at the Fermi level is 5.489 states/eV/f.u. As for the calculated total energy: -2.0280 eV per atom. For the total magnetization, the calculation gives 0.000 μB/cell.